[1]
Zr2MnSe: relaxed, PBE.

abc: 3.5738 3.5738 6.0306
angles: 90.00 90.00 89.99
Closest atoms and distances in Å follow each position.
Fractional positions:
Se 0.5000 0.5000 0.7640  6 Zr 2.82-3.09, 4 Mn 3.03
Zr 0.0000 0.0000 0.9733  4 Se 2.82, 2 Mn 2.94-3.09, 4 Zr 3.12
Mn 0.0000 0.0000 0.4863  6 Zr 2.83-3.09, 4 Se 3.03
Zr 0.5000 0.5000 0.2764  4 Mn 2.83, 2 Se 2.94-3.09, 4 Zr 3.12

Results
The magnetic moment is 2.58 μB per cell. Its crystal system is tetragonal.



[2]
Zr2MnSe: relaxed, PBE.

abc: 4.0973 3.5195 5.3055
angles: 70.63 90.00 90.00
Closest atoms and distances in Å follow each position.
Fractional positions:
Zr 0.5000 0.2652 0.3444  4 Mn 2.75-2.76, 3 Se 2.81-2.82
Mn 0.0000 0.7099 0.4506  2 Se 2.64, 6 Zr 2.64-2.94
Se 0.5000 0.5474 0.7820  2 Mn 2.64, 7 Zr 2.79-2.82
Zr 0.0000 0.9775 0.9230  3 Mn 2.64-2.96, 4 Se 2.79

Results
The magnetic moment is 0.95 μB per cell. Its crystal system is monoclinic.



[3]
ZrMnSe2: relaxed, PBE.

abc: 7.0341 7.0341 7.0341
angles: 30.63 30.63 30.63
Closest atoms and distances in Å follow each position.
Fractional positions:
Mn 0.6662 0.6662 0.6662  6 Se 2.67-2.68
Zr 0.5009 0.5009 0.5009  6 Se 2.76-2.78
Se 0.0792 0.0792 0.0792  3 Mn 2.68, 3 Zr 2.78
Se 0.2537 0.2537 0.2537  3 Mn 2.67, 3 Zr 2.76

Results
The magnetic moment is 4.81 μB per cell. Its crystal system is trigonal.



[4]
ZrMn2Se: relaxed, PBE.

abc: 3.5139 4.2703 4.3385
angles: 90.00 90.00 90.00
Closest atoms and distances in Å follow each position.
Fractional positions:
Mn 0.0000 0.0000 0.0000  4 Mn 2.77, 4 Se 2.79, 4 Zr 3.04
Se 0.5000 0.0000 0.5000  4 Zr 2.77, 8 Mn 2.79-3.04
Mn 0.5000 0.5000 0.0000  4 Mn 2.77, 4 Zr 2.79, 4 Se 3.04
Zr 0.0000 0.5000 0.5000  4 Se 2.77, 8 Mn 2.79-3.04

Results
The magnetic moment is 5.62 μB per cell. Its crystal system is orthorhombic.



[5]
Zr2MnSe4: relaxed, PBE.

abc: 7.8552 7.8552 7.8561
angles: 59.99 59.99 89.95
Closest atoms and distances in Å follow each position.
Fractional positions:
Zr 0.5000 0.0000 0.5000  6 Se 2.74
Se 0.7468 0.7530 0.4935  1 Mn 2.47, 3 Zr 2.74
Se 0.2530 0.2468 0.9935  1 Mn 2.47, 3 Zr 2.74
Mn 0.8751 0.6249 0.7500  4 Se 2.47
Se 0.2597 0.7536 0.4933  1 Mn 2.47, 3 Zr 2.74
Se 0.7470 0.7532 0.0065  1 Mn 2.47, 3 Zr 2.74
Se 0.2532 0.2470 0.5065  1 Mn 2.47, 3 Zr 2.74
Zr 0.5000 0.0000 0.0000  6 Se 2.74
Se 0.7403 0.2464 0.5067  1 Mn 2.47, 3 Zr 2.74
Mn 0.1249 0.3751 0.2500  4 Se 2.47
Se 0.7464 0.2403 0.0067  1 Mn 2.47, 3 Zr 2.74
Zr 0.0000 0.0000 0.0000  6 Se 2.74
Se 0.2536 0.7597 0.9933  1 Mn 2.47, 3 Zr 2.74
Zr 0.5000 0.5000 0.5000  6 Se 2.74

Results
The magnetic moment is 8.35 μB per cell. Its crystal system is tetragonal.



[6]
ZrMnSe2: relaxed, PBE.

abc: 5.0356 5.0356 7.7010
angles: 70.92 70.92 90.00
Closest atoms and distances in Å follow each position.
Fractional positions:
Se 0.3750 0.4275 0.7500  2 Mn 2.34, 2 Zr 2.61
Se 0.5725 0.1250 0.2500  2 Mn 2.34, 2 Zr 2.61
Zr 0.7500 0.2500 0.5000  4 Se 2.61
Se 0.1775 0.6250 0.2500  2 Mn 2.34, 2 Zr 2.61
Se 0.8750 0.8225 0.7500  2 Mn 2.34, 2 Zr 2.61
Mn 0.2500 0.7500 0.5000  4 Se 2.34
Mn 0.5000 0.5000 0.0000  4 Se 2.34
Zr 0.0000 0.0000 0.0000  4 Se 2.61

Results
The magnetic moment is 0.00 μB per cell. Its crystal system is tetragonal.



[7]
Zr2MnSe: relaxed, PBE.

abc: 3.2679 3.2807 7.2921
angles: 68.38 90.00 90.00
Closest atoms and distances in Å follow each position.
Fractional positions:
Mn 0.5000 0.2500 0.2500  8 Zr 2.66-2.93
Zr 0.0000 0.0069 0.0210  4 Mn 2.66-2.93, 2 Se 2.92
Se 0.5000 0.7500 0.7500  8 Zr 2.92-2.99
Zr 0.0000 0.4931 0.4790  4 Mn 2.66-2.93, 2 Se 2.92

Results
The magnetic moment is 0.00 μB per cell. Its crystal system is monoclinic.



[8]
ZrMn2Se: relaxed, PBE.

abc: 3.3512 3.3512 5.9154
angles: 90.00 90.00 90.00
Closest atoms and distances in Å follow each position.
Fractional positions:
Se 0.0000 0.0000 0.4754  5 Mn 2.67-2.75, 4 Zr 2.91
Mn 0.0000 0.0000 0.0237  1 Se 2.67, 4 Mn 2.69, 4 Zr 2.83
Mn 0.5000 0.5000 0.2402  4 Mn 2.69, 4 Se 2.75, 1 Zr 2.84
Zr 0.5000 0.5000 0.7607  6 Mn 2.83-3.08, 4 Se 2.91

Results
The magnetic moment is 5.82 μB per cell. Its crystal system is tetragonal.



[9]
Zr2MnSe: relaxed, PBE.

abc: 8.5646 8.5646 8.5646
angles: 22.87 22.87 22.87
Closest atoms and distances in Å follow each position.
Fractional positions:
Se 0.7534 0.7534 0.7534  3 Mn 2.65, 3 Zr 2.73
Zr 0.2446 0.2446 0.2446  3 Mn 2.92, 3 Zr 3.17
Mn 0.4914 0.4914 0.4914  3 Se 2.65, 3 Zr 2.92
Zr 0.0106 0.0106 0.0106  3 Se 2.73

Results
The magnetic moment is 3.43 μB per cell. Its crystal system is trigonal.



[10]
ZrMn2Se: relaxed, PBE.

abc: 8.2530 8.2530 8.2530
angles: 22.57 22.57 22.57
Closest atoms and distances in Å follow each position.
Fractional positions:
Mn 0.9913 0.9913 0.9913  3 Se 2.59, 3 Zr 2.90
Mn 0.5087 0.5087 0.5087  3 Se 2.59, 3 Zr 2.90
Se 0.2500 0.2500 0.2500  6 Mn 2.59
Zr 0.7500 0.7500 0.7500  6 Mn 2.90, 6 Zr 3.23

Results
The magnetic moment is 5.75 μB per cell. Its crystal system is trigonal.



[11]
ZrMnSe2: relaxed, PBE.

abc: 3.5862 3.5857 6.5576
angles: 90.00 90.00 90.00
Closest atoms and distances in Å follow each position.
Fractional positions:
Se 0.0000 0.0000 0.8952  1 Zr 2.63, 4 Mn 2.68
Se 0.5000 0.5000 0.3477  4 Zr 2.71, 1 Mn 2.72
Zr 0.0000 0.0000 0.4949  5 Se 2.63-2.71
Mn 0.5000 0.5000 0.7622  5 Se 2.68-2.72

Results
The magnetic moment is 3.30 μB per cell. Its crystal system is tetragonal.



[12]
ZrMnSe2: relaxed, PBE.

abc: 6.5642 6.5642 6.5642
angles: 148.24 148.49 45.34
Closest atoms and distances in Å follow each position.
Fractional positions:
Mn 0.2815 0.7815 0.5000  6 Se 2.65-2.75
Zr 0.5480 0.5480 0.0000  6 Se 2.72-2.77
Se 0.7161 0.2161 0.5000  4 Mn 2.65, 2 Zr 2.72
Se 0.9544 0.9544 0.0000  2 Mn 2.75, 4 Zr 2.77

Results
The magnetic moment is 3.23 μB per cell. Its crystal system is orthorhombic.



[13]
ZrMnSe3: relaxed, PBE.

abc: 3.9174 7.1921 11.5123
angles: 122.42 90.00 90.00
Closest atoms and distances in Å follow each position.
Fractional positions:
Se 0.7500 0.7964 0.0266  3 Zr 2.66-2.74
Se 0.7500 0.3863 0.3186  1 Mn 2.48, 2 Zr 2.69
Zr 0.2500 0.1047 0.1654  6 Se 2.66-2.81
Se 0.2500 0.2036 0.9734  3 Zr 2.66-2.74
Se 0.2500 0.6137 0.6814  1 Mn 2.48, 2 Zr 2.69
Mn 0.2500 0.2205 0.6078  4 Se 2.48-2.60
Se 0.2500 0.9477 0.3425  3 Mn 2.52-2.60, 1 Zr 2.81
Se 0.7500 0.0523 0.6575  3 Mn 2.52-2.60, 1 Zr 2.81
Mn 0.7500 0.7795 0.3922  4 Se 2.48-2.60
Zr 0.7500 0.8953 0.8346  6 Se 2.66-2.81

Results
The magnetic moment is 9.95 μB per cell. Its crystal system is monoclinic.



[14]
ZrMn2Se: relaxed, PBE.

abc: 7.4225 7.4225 5.8871
angles: 50.92 50.92 90.00
Closest atoms and distances in Å follow each position.
Fractional positions:
Mn 0.3750 0.4219 0.7500  2 Se 2.48, 2 Mn 2.76
Zr 0.0000 0.0000 0.0000  2 Se 2.67, 4 Mn 2.96
Se 0.2500 0.7500 0.5000  4 Mn 2.48, 2 Zr 2.67
Mn 0.5781 0.1250 0.2500  2 Se 2.48, 2 Mn 2.76
Mn 0.1719 0.6250 0.2500  2 Se 2.48, 2 Mn 2.76
Mn 0.8750 0.8281 0.7500  2 Se 2.48, 2 Mn 2.76
Zr 0.7500 0.2500 0.5000  2 Se 2.67, 4 Mn 2.96
Se 0.5000 0.5000 0.0000  4 Mn 2.48, 2 Zr 2.67

Results
The magnetic moment is 13.44 μB per cell. Its crystal system is tetragonal.



[15]
Zr3MnSe: relaxed, PBE.

abc: 4.9785 4.9785 4.9785
angles: 90.00 90.00 90.00
Closest atoms and distances in Å follow each position.
Fractional positions:
Zr 0.0000 0.5000 0.0000  2 Se 2.49
Zr 0.0000 0.0000 0.5000  2 Se 2.49
Se 0.0000 0.0000 0.0000  6 Zr 2.49
Zr 0.5000 0.0000 0.0000  2 Se 2.49
Mn 0.5000 0.5000 0.5000  12 Zr 3.52

Results
The magnetic moment is 3.57 μB per cell. Its crystal system is cubic.



[16]
ZrMn3Se: relaxed, PBE.

abc: 4.8417 4.8417 4.8417
angles: 90.00 90.00 90.00
Closest atoms and distances in Å follow each position.
Fractional positions:
Mn 0.5000 0.0000 0.0000  2 Zr 2.42
Zr 0.0000 0.0000 0.0000  6 Mn 2.42
Mn 0.0000 0.0000 0.5000  2 Zr 2.42
Se 0.5000 0.5000 0.5000  12 Mn 3.42
Mn 0.0000 0.5000 0.0000  2 Zr 2.42

Results
The magnetic moment is 9.36 μB per cell. Its crystal system is cubic.



[17]
ZrMnSe: relaxed, PBE.

abc: 4.1016 4.1016 3.4461
angles: 90.00 90.00 120.00
Closest atoms and distances in Å follow each position.
Fractional positions:
Se 0.6667 0.3333 0.1672  3 Mn 2.37
Zr 0.3333 0.6667 0.6434  6 Mn 2.84-3.02, 6 Se 2.88-2.98
Mn 0.0000 0.0000 0.1894  3 Se 2.37

Results
The magnetic moment is 1.47 μB per cell. Its crystal system is trigonal.



[18]
Zr2MnSe2: relaxed, PBE.

abc: 3.4961 3.9163 7.0866
angles: 105.13 104.18 90.15
Closest atoms and distances in Å follow each position.
Fractional positions:
Mn 0.1510 0.4376 0.2559  3 Se 2.34-2.36
Zr 0.5901 0.8181 0.0837  4 Mn 2.71-3.02, 6 Se 2.87-3.01
Se 0.9971 0.2366 0.9023  1 Mn 2.34
Zr 0.8377 0.5887 0.5917  6 Se 2.76-2.84, 2 Mn 2.79-2.87
Se 0.2685 0.0279 0.4523  2 Mn 2.34-2.36

Results
The magnetic moment is 0.00 μB per cell. Its crystal system is triclinic.



[19]
ZrMnSe: relaxed, PBE.

abc: 4.5055 4.5055 4.5055
angles: 60.00 60.00 60.00
Closest atoms and distances in Å follow each position.
Fractional positions:
Mn 0.0000 0.0000 0.0000  4 Zr 2.76
Zr 0.7500 0.7500 0.7500  4 Mn 2.76, 4 Se 2.76
Se 0.5000 0.5000 0.5000  4 Zr 2.76

Results
The magnetic moment is 2.62 μB per cell. Its crystal system is cubic.



[20]
ZrMn2Se: relaxed, PBE.

abc: 3.8126 3.4252 5.3985
angles: 71.44 90.00 90.00
Closest atoms and distances in Å follow each position.
Fractional positions:
Mn 0.5000 0.4578 0.2073  2 Se 2.47, 1 Zr 2.56, 4 Mn 2.66
Zr 0.5000 0.7099 0.7070  1 Mn 2.56, 4 Se 2.74
Se 0.0000 0.3058 0.5154  2 Mn 2.47, 4 Zr 2.74
Mn 0.0000 0.0265 0.0703  4 Mn 2.66, 3 Se 2.84-2.86

Results
The magnetic moment is 5.62 μB per cell. Its crystal system is monoclinic.



[21]
Zr2MnSe2: relaxed, PBE.

abc: 5.2298 6.4312 6.6073
angles: 70.10 69.04 90.83
Closest atoms and distances in Å follow each position.
Fractional positions:
Zr 0.6671 0.7098 0.7199  5 Se 2.73-2.87, 2 Mn 2.82-2.92
Se 0.6295 0.6959 0.1648  2 Mn 2.50-2.57, 2 Zr 2.69-2.73
Zr 0.1640 0.8530 0.1371  5 Se 2.69-2.91, 2 Mn 2.80-2.88
Se 0.3705 0.3041 0.8352  2 Mn 2.50-2.57, 2 Zr 2.69-2.73
Se 0.8123 0.1180 0.3188  1 Mn 2.49, 1 Zr 2.76
Mn 0.7994 0.4381 0.4519  3 Se 2.49-2.57, 1 Mn 2.59
Mn 0.2006 0.5619 0.5481  3 Se 2.49-2.57, 1 Mn 2.59
Zr 0.3329 0.2902 0.2801  5 Se 2.73-2.87, 2 Mn 2.82-2.92
Zr 0.8360 0.1470 0.8629  5 Se 2.69-2.91, 2 Mn 2.80-2.88
Se 0.1877 0.8820 0.6812  1 Mn 2.49, 1 Zr 2.76

Results
The magnetic moment is 4.95 μB per cell. Its crystal system is triclinic.



[22]
ZrMnSe3: relaxed, PBE.

abc: 4.7817 4.7817 4.7817
angles: 90.00 90.00 90.00
Closest atoms and distances in Å follow each position.
Fractional positions:
Se 0.0000 0.0000 0.5000  2 Mn 2.39
Se 0.0000 0.5000 0.0000  2 Mn 2.39
Se 0.5000 0.0000 0.0000  2 Mn 2.39
Zr 0.5000 0.5000 0.5000  12 Se 3.38
Mn 0.0000 0.0000 0.0000  6 Se 2.39

Results
The magnetic moment is 2.86 μB per cell. Its crystal system is cubic.



[23]
Zr2MnSe: relaxed, PBE.

abc: 4.7495 4.7495 3.3219
angles: 90.00 90.00 102.04
Closest atoms and distances in Å follow each position.
Fractional positions:
Mn 0.5000 0.0000 0.5000  8 Zr 2.90, 2 Se 2.99
Zr 0.5000 0.5000 0.0000  4 Mn 2.90, 4 Se 2.90, 2 Zr 2.99
Zr 0.0000 0.0000 0.0000  4 Se 2.90, 4 Mn 2.90, 2 Zr 2.99
Se 0.0000 0.5000 0.5000  8 Zr 2.90, 2 Mn 2.99

Results
The magnetic moment is 2.19 μB per cell. Its crystal system is orthorhombic.



[24]
Zr2MnSe: relaxed, PBE.

abc: 5.8881 5.8881 5.8881
angles: 146.71 138.72 54.03
Closest atoms and distances in Å follow each position.
Fractional positions:
Zr 0.9928 0.9928 0.0000  4 Mn 2.68, 2 Se 2.90
Mn 0.4837 0.4837 0.0000  2 Se 2.56, 4 Zr 2.68
Se 0.3000 0.8000 0.5000  2 Mn 2.56, 4 Zr 2.79
Zr 0.7235 0.2235 0.5000  4 Se 2.79, 2 Mn 3.03

Results
The magnetic moment is 0.93 μB per cell. Its crystal system is orthorhombic.



[25]
ZrMn2Se: relaxed, PBE.

abc: 4.5269 4.5269 4.5269
angles: 60.00 60.00 60.00
Closest atoms and distances in Å follow each position.
Fractional positions:
Zr 0.7500 0.7500 0.7500  4 Se 2.77, 4 Mn 2.77
Mn 0.2500 0.2500 0.2500  4 Se 2.77, 4 Mn 2.77
Se 0.5000 0.5000 0.5000  4 Zr 2.77, 4 Mn 2.77
Mn 0.0000 0.0000 0.0000  4 Mn 2.77, 4 Zr 2.77

Results
The magnetic moment is 5.65 μB per cell. Its crystal system is cubic.



[26]
ZrMn2Se: relaxed, PBE.

abc: 8.1805 8.1805 8.1805
angles: 23.59 23.59 23.59
Closest atoms and distances in Å follow each position.
Fractional positions:
Zr 0.7545 0.7545 0.7545  3 Se 2.72, 3 Mn 2.88
Mn 0.2457 0.2457 0.2457  3 Se 2.67, 3 Mn 2.81
Se 0.5017 0.5017 0.5017  3 Mn 2.67, 3 Zr 2.72
Mn 0.9981 0.9981 0.9981  3 Mn 2.81, 3 Zr 2.88

Results
The magnetic moment is 7.55 μB per cell. Its crystal system is trigonal.



[27]
ZrMn2Se: relaxed, PBE.

abc: 5.1804 5.1804 5.1804
angles: 136.14 136.14 63.76
Closest atoms and distances in Å follow each position.
Fractional positions:
Mn 0.5000 0.5000 0.0000  4 Mn 2.74, 4 Zr 2.93, 4 Se 2.93
Se 0.2500 0.7500 0.5000  4 Zr 2.74, 8 Mn 2.93
Mn 0.0000 0.0000 0.0000  4 Mn 2.74, 4 Se 2.93, 4 Zr 2.93
Zr 0.7500 0.2500 0.5000  4 Se 2.74, 8 Mn 2.93

Results
The magnetic moment is 5.44 μB per cell. Its crystal system is tetragonal.



[28]
Zr2MnSe2: relaxed, PBE.

abc: 5.2077 6.3826 6.5969
angles: 99.56 112.37 91.29
Closest atoms and distances in Å follow each position.
Fractional positions:
Zr 0.2168 0.1823 0.0892  1 Mn 2.48, 2 Se 2.75-2.77
Mn 0.2805 0.8436 0.2330  2 Se 2.36-2.48, 3 Zr 2.48-2.64, 1 Mn 2.50
Se 0.3930 0.8040 0.8958  1 Mn 2.48, 1 Zr 2.75
Se 0.7265 0.3307 0.0915  1 Mn 2.72, 5 Zr 2.74-2.90
Zr 0.1652 0.5770 0.4592  1 Mn 2.64, 5 Se 2.76-2.82
Mn 0.8564 0.9799 0.2816  1 Mn 2.50, 4 Se 2.59-2.80
Zr 0.8734 0.6331 0.8943  1 Mn 2.56, 4 Se 2.67-2.82
Se 0.0047 0.2687 0.6606  1 Mn 2.68, 5 Zr 2.77-2.83
Se 0.6867 0.7310 0.4876  2 Mn 2.36-2.59
Zr 0.4830 0.1011 0.6336  1 Mn 2.68, 5 Se 2.79-2.91

Results
The magnetic moment is 4.00 μB per cell. Its crystal system is triclinic.



Uncorrected formation energy
In order: -0.354; -0.522; -0.829; -0.091; -1.035; -0.256; -0.422; -0.128; -0.220; 0.115; -0.806; -0.796; -0.896; 0.050; 0.167; 1.364; -0.410; -0.706; 0.179; -0.153; -0.747; -0.095; -0.387; -0.365; 0.121; 0.086; -0.059; -0.766
Unit: eV/atom